(1)
An optimized crystal structure of K2Zr3PbS8, computed with PBE-GGA.

Calculated values
- Space group: R3m
- ΔE_f (raw): -1.32 eV per atom

Lattice parameters (Å, degrees): 7.662 7.662 8.975 64.73 64.73 60.00
Fractional coordinates of all 14 atoms:
1 K 0.140 0.140 0.580
2 K 0.494 0.494 0.518
3 Zr 0.498 0.007 0.997
4 Zr 0.007 0.498 0.997
5 Zr 0.498 0.498 0.997
6 Pb 0.886 0.886 0.342
7 S 0.271 0.271 0.188
8 S 0.726 0.726 0.822
9 S 0.232 0.232 0.830
10 S 0.707 0.232 0.830
11 S 0.232 0.707 0.830
12 S 0.752 0.299 0.197
13 S 0.299 0.752 0.197
14 S 0.752 0.752 0.197

***

(2)
An optimized crystal structure of ReH3Pb, computed with PBE-GGA.

Calculated values
- Offset from the most stable computed form: 0.0 meV/atom
- Space group: Pm-3m

Lattice parameters (Å, degrees): 3.748 3.748 3.748 90.00 90.00 90.00
Fractional coordinates of all 5 atoms:
1 Pb 0.500 0.500 0.500
2 Re 0.000 0.000 0.000
3 H 0.000 0.500 0.000
4 H 0.000 0.000 0.500
5 H 0.500 0.000 0.000

***

(3)
An optimized crystal structure of PrThOsI, computed with PBE-GGA.

Calculated values
- Space group: R3m
- ΔE_f (raw): -0.64 eV per atom

Lattice parameters (Å, degrees): 4.211 4.212 8.611 90.00 104.15 120.00
Fractional coordinates of all 4 atoms:
1 Pr 0.513 0.154 0.683
2 Th 0.086 0.941 0.042
3 Os 0.311 0.553 0.880
4 I 0.968 0.382 0.365

***

(4)
An optimized crystal structure of Y3CdO, computed with PBE-GGA.

Calculated values
- Offset from the most stable computed form: 74.8 meV/atom
- Space group: P1
- ΔE_f (raw): -1.26 eV per atom

Lattice parameters (Å, degrees): 6.607 6.837 6.917 56.06 99.63 92.05
Fractional coordinates of all 10 atoms:
1 Y 0.580 0.199 0.914
2 Y 0.326 0.666 0.306
3 Y 0.886 0.723 0.515
4 Y 0.045 0.149 0.657
5 Y 0.797 0.610 0.063
6 Y 0.494 0.076 0.462
7 O 0.012 0.533 0.382
8 O 0.587 0.895 0.280
9 Cd 0.320 0.618 0.875
10 Cd 0.060 0.202 0.095

***

- What is the formula in the first record?
  K2Zr3PbS8

***

Repeat the third record exactly.
An optimized crystal structure of PrThOsI, computed with PBE-GGA.

Calculated values
- Space group: R3m
- ΔE_f (raw): -0.64 eV per atom

Lattice parameters (Å, degrees): 4.211 4.212 8.611 90.00 104.15 120.00
Fractional coordinates of all 4 atoms:
1 Pr 0.513 0.154 0.683
2 Th 0.086 0.941 0.042
3 Os 0.311 0.553 0.880
4 I 0.968 0.382 0.365